No. 1
# PBE NdYScIn, relaxed
# DFT total energy, eV/atom: -5.2520
# Formation enthalpy at 0 K, eV per atom: -0.1766
# E above lowest polymorph, meV/atom: 80
data_NdYScIn
_chemical_formula_sum 'Nd4 Y4 Sc4 In4'
_symmetry_space_group_name_H-M 'F -4 3 m'
_symmetry_Int_Tables_number 216
_symmetry_space_group_name_Hall 'F -4 2 3'
_cell_length_a 7.659
_cell_length_b 7.659
_cell_length_c 7.659
_cell_angle_alpha 90.00
_cell_angle_beta 90.00
_cell_angle_gamma 90.00
loop_
_atom_site_label
_atom_site_type_symbol
_atom_site_fract_x
_atom_site_fract_y
_atom_site_fract_z
Nd1 Nd 0.000 0.000 0.000
Y1 Y 0.000 0.000 0.500
Sc1 Sc 0.250 0.250 0.250
In1 In 0.250 0.250 0.750



No. 2
# PBE SrTl3Ru, relaxed
# DFT total energy, eV/atom: -2.0837
# Formation enthalpy at 0 K, eV per atom: 1.5276
# E above lowest polymorph, meV/atom: 1470
data_SrTl3Ru
_chemical_formula_sum 'Sr1 Tl3 Ru1'
_symmetry_space_group_name_H-M 'P m -3 m'
_symmetry_Int_Tables_number 221
_symmetry_space_group_name_Hall '-P 4 2 3'
_cell_length_a 6.053
_cell_length_b 6.053
_cell_length_c 6.053
_cell_angle_alpha 90.00
_cell_angle_beta 90.00
_cell_angle_gamma 90.00
loop_
_atom_site_label
_atom_site_type_symbol
_atom_site_fract_x
_atom_site_fract_y
_atom_site_fract_z
Sr1 Sr 0.000 0.000 0.000
Tl1 Tl 0.000 0.000 0.500
Ru1 Ru 0.500 0.500 0.500